# 1
The following is a PBE calculation of an optimized crystal structure of YGe2SbO8, from the Alexandria database.

```
YGe2SbO8
1.0
-3.456 3.456 3.148
3.456 -3.456 3.148
3.456 3.456 -3.148
Y Ge Sb O
1 2 1 8
Cartesian
0.000 0.000 0.000
3.456 0.000 1.574
0.000 0.000 3.148
0.000 3.456 1.574
2.237 0.000 0.293
4.675 0.000 0.293
3.456 2.120 -1.176
3.456 -1.219 2.855
0.000 1.336 1.971
3.456 1.219 2.855
2.120 3.456 1.176
1.336 0.000 4.324
```

Properties
- Total magnetization: 0.000 μB per atom
- Uncorrected formation energy: -2143 kJ/mol of formula units
- Total DFT energy (no corrections): -81.70 eV per cell
- Space group: I-4m2 (119)



# 2
The following is a PBE calculation of an optimized crystal structure of ZnGeSbO6, from the Alexandria database.

```
ZnGeSbO6
1.0
5.145 0.000 0.000
-2.572 4.456 0.000
0.000 0.000 8.882
Zn Ge Sb O
2 2 2 12
Cartesian
0.000 0.000 0.000
0.000 0.000 4.441
0.000 2.970 2.220
2.572 1.485 6.661
0.000 2.970 6.661
2.572 1.485 2.220
-0.855 1.601 1.174
-1.614 2.914 3.267
0.855 1.601 3.267
-0.758 4.396 1.174
1.814 0.060 5.615
0.959 1.541 7.708
1.614 2.914 1.174
0.758 4.396 3.267
3.331 0.060 7.708
1.717 2.855 5.615
4.186 1.541 5.615
3.428 2.855 7.708
```

Properties
- Total magnetization: 0.115 μB per atom
- Density of states at the Fermi level: 0.35 states/eV per atom
- Uncorrected formation energy: -1093 kJ/mol of formula units
- Total DFT energy (no corrections): -102.19 eV per cell
- Space group: P-31c (163)



What is the total magnetization in the first record?
0.000 μB per atom



What is the uncorrected formation energy in the second record?
-1093 kJ/mol of formula units